1.
Ce2Ga3SiNi4 | PBE | optimized geometry

a = 4.1071 Å, b = 4.1071 Å, c = 9.7774 Å
α = 90.00°, β = 90.00°, γ = 90.00°
Space group P-4m2 (No. 115)
Unique sites:
Ce 0.0000 0.5000 0.2479 x2
Ga 0.0000 0.0000 0.0000 x1
Ga 0.0000 0.5000 0.6291 x2
Si 0.5000 0.5000 0.0000 x1
Ni 0.0000 0.0000 0.5000 x1
Ni 0.0000 0.5000 0.8754 x2
Ni 0.5000 0.5000 0.5000 x1

total DFT energy (no corrections): -5.537 eV/atom
uncorrected formation energy: -0.59 eV/atom
ρ: 7.6 g cm⁻³

2.
Ce2GaNi4Sn3 | PBE | optimized geometry

a = 4.3737 Å, b = 4.3737 Å, c = 10.0594 Å
α = 90.00°, β = 90.00°, γ = 90.00°
Space group P-4m2 (No. 115)
Unique sites:
Ce 0.0000 0.5000 0.2456 x2
Ga 0.0000 0.0000 0.5000 x1
Ni 0.0000 0.0000 0.0000 x1
Ni 0.0000 0.5000 0.6234 x2
Ni 0.5000 0.5000 0.0000 x1
Sn 0.0000 0.5000 0.8705 x2
Sn 0.5000 0.5000 0.5000 x1

total DFT energy (no corrections): -5.510 eV/atom
ΔE_f: -0.5073 eV per atom
ρ: 8.1 g cm⁻³

3.
CeTh2Ga2Ni7 | PBE | optimized geometry

a = 5.6407 Å, b = 5.5109 Å, c = 13.1102 Å
α = 90.00°, β = 97.27°, γ = 90.00°
Space group C2/m (No. 12)
Unique sites:
Ce 0.0000 0.0000 0.0000 x2
Th 0.1037 0.0000 0.3589 x4
Ga 0.0734 0.5000 0.2448 x4
Ni 0.0000 0.5000 0.0000 x2
Ni 0.1206 0.5000 0.4318 x4
Ni 0.2074 0.2507 0.8570 x8

total DFT energy (no corrections): -5.979 eV/atom
ΔE_f: -0.3713 eV per atom
ρ: 9.5 g cm⁻³